1.
This record from Alexandria describes a geometry-optimized ScTcGe2Pd structure. The functional is GGA-PBE.

Cell lengths 4.9045, 4.5721, 4.9045 Å; angles 90.00, 90.00, 90.00 degrees
Each line ends with the local moment (μB).
Fractional positions:
1 Sc 0.0000 0.0000 0.0000  -0.04
2 Ge 0.0000 0.0000 0.5000  -0.06
3 Ge 0.5000 0.0000 0.0000  -0.02
4 Tc 0.5000 0.5000 0.5000  3.12
5 Pd 0.0000 0.5000 0.0000  -0.02

Results
The value obtained for the mass density is 5.96 g/cm³. For the formation energy, the calculation gives 1.092 eV per atom. The spin magnetization comes out at 3.2 μB/f.u.

=====

2.
This record from Alexandria describes a geometry-optimized PuZnAgPb structure. The functional is GGA-PBE.

Cell lengths 5.0675, 5.0675, 5.0675 Å; angles 60.00, 60.00, 60.00 degrees
Each line ends with the local moment (μB).
Fractional positions:
1 Pb 0.0000 0.0000 0.0000  -0.02
2 Zn 0.5000 0.5000 0.5000  0.01
3 Ag 0.2500 0.2500 0.2500  0.00
4 Pu 0.7500 0.7500 0.7500  5.35

Results
The value obtained for the mass density is 11.27 g/cm³. For the formation energy, the calculation gives 0.016 eV per atom. The spin magnetization comes out at 5.5 μB/f.u.

=====

3.
This record from Alexandria describes a geometry-optimized TaAgAs2 structure. The functional is GGA-PBE.

Cell lengths 5.0167, 5.0167, 5.0167 Å; angles 135.69, 124.69, 73.46 degrees
Fractional positions:
1 As 0.9986 0.9986 0.0000
2 As 0.5014 0.5014 0.0000
3 Ag 0.7500 0.2500 0.5000
4 Ta 0.2500 0.7500 0.5000

Results
The value obtained for the mass density is 10.28 g/cm³. For the formation energy, the calculation gives 0.249 eV per atom. The spin magnetization comes out at 0.0 μB/f.u.

=====

4.
This record from Alexandria describes a geometry-optimized TbPm3Pr6Dy2 structure. The functional is GGA-PBE.

Cell lengths 6.3524, 6.3524, 12.0411 Å; angles 95.04, 95.04, 120.02 degrees
Fractional positions:
1 Tb 0.0000 0.0000 0.0000
2 Pm 0.1667 0.8333 0.5000
3 Pm 0.8333 0.1667 0.5000
4 Pm 0.5000 0.5000 0.5000
5 Pr 0.9170 0.5836 0.7530
6 Pr 0.7495 0.7495 0.2470
7 Pr 0.0830 0.4164 0.2470
8 Pr 0.5836 0.9170 0.7530
9 Pr 0.2505 0.2505 0.7530
10 Pr 0.4164 0.0830 0.2470
11 Dy 0.3334 0.6666 0.0000
12 Dy 0.6666 0.3334 0.0000

Results
The value obtained for the mass density is 7.07 g/cm³. For the formation energy, the calculation gives 0.012 eV per atom. The spin magnetization comes out at 0.0 μB/f.u.

=====

5.
This record from Alexandria describes a geometry-optimized BeIn2Br structure. The functional is GGA-PBE.

Cell lengths 3.4213, 5.7605, 5.0034 Å; angles 90.00, 90.00, 90.00 degrees
Fractional positions:
1 Be 0.5000 0.0000 0.5000
2 Br 0.0000 0.5000 0.5000
3 In 0.0000 0.0000 0.0000
4 In 0.5000 0.5000 0.0000

Results
The value obtained for the mass density is 5.36 g/cm³. The calculation puts the raw formation energy at 0.367 eV/atom. The spin magnetization comes out at 0.0 μB/f.u.

=====

6.
This record from Alexandria describes a geometry-optimized FePPtCl2 structure. The functional is GGA-PBE.

Cell lengths 4.9701, 4.9701, 4.6052 Å; angles 90.00, 90.00, 90.00 degrees
Each line ends with the local moment (μB).
Fractional positions:
1 P 0.0000 0.0000 0.5000  0.00
2 Fe 0.5000 0.5000 0.5000  3.41
3 Pt 0.0000 0.0000 0.0000  -0.02
4 Cl 0.0000 0.5000 0.0000  0.03
5 Cl 0.5000 0.0000 0.0000  0.03

Results
The value obtained for the mass density is 5.15 g/cm³. The calculation puts the raw formation energy at 0.654 eV/atom. The spin magnetization comes out at 3.8 μB/f.u.

=====

7.
This record from Alexandria describes a geometry-optimized TiZn6Au2 structure. The functional is GGA-PBE.

Cell lengths 4.4612, 4.4277, 8.5179 Å; angles 87.15, 90.00, 120.25 degrees
Fractional positions:
1 Ti 0.0000 0.0000 0.5000
2 Zn 0.6668 0.3336 0.0175
3 Zn 0.3332 0.6664 0.9825
4 Zn 0.0152 0.0303 0.1669
5 Zn 0.3453 0.6905 0.3389
6 Zn 0.9848 0.9697 0.8331
7 Zn 0.6547 0.3095 0.6611
8 Au 0.3194 0.6388 0.6661
9 Au 0.6806 0.3612 0.3339

Results
The value obtained for the mass density is 9.55 g/cm³. For the formation energy, the calculation gives -0.148 eV per atom. The spin magnetization comes out at 0.0 μB/f.u.

=====

8.
This record from Alexandria describes a geometry-optimized TiPbSeBr2 structure. The functional is GGA-PBE.

Cell lengths 5.2626, 5.2626, 5.2241 Å; angles 90.00, 90.00, 90.00 degrees
Each line ends with the local moment (μB).
Fractional positions:
1 Pb 0.5000 0.5000 0.5000  0.16
2 Se 0.0000 0.0000 0.5000  -0.06
3 Br 0.0000 0.5000 0.0000  0.00
4 Br 0.5000 0.0000 0.0000  0.00
5 Ti 0.0000 0.0000 0.0000  1.29

Results
The value obtained for the mass density is 5.67 g/cm³. The calculation puts the raw formation energy at -0.567 eV/atom. The spin magnetization comes out at 1.9 μB/f.u.

=====

9.
This record from Alexandria describes a geometry-optimized AcSbSe structure. The functional is GGA-PBE.

Cell lengths 4.3447, 4.3447, 6.0771 Å; angles 110.94, 110.94, 90.00 degrees
Fractional positions:
1 Sb 0.0308 0.0308 0.0616
2 Ac 0.6802 0.6802 0.3604
3 Se 0.2890 0.2890 0.5781

Results
The value obtained for the mass density is 7.18 g/cm³. The calculation puts the raw formation energy at -0.979 eV/atom. The spin magnetization comes out at 0.0 μB/f.u.

=====

10.
This record from Alexandria describes a geometry-optimized ScAuSN2 structure. The functional is GGA-PBE.

Cell lengths 4.0329, 4.0329, 4.9452 Å; angles 90.00, 90.00, 90.00 degrees
Each line ends with the local moment (μB).
Fractional positions:
1 Sc 0.5000 0.5000 0.5000  -0.16
2 S 0.0000 0.0000 0.5000  0.08
3 Au 0.0000 0.0000 0.0000  0.16
4 N 0.0000 0.5000 0.0000  0.55
5 N 0.5000 0.0000 0.0000  0.55

Results
The value obtained for the mass density is 6.24 g/cm³. The calculation puts the raw formation energy at 0.985 eV/atom. The spin magnetization comes out at 1.6 μB/f.u.

=====

11.
This record from Alexandria describes a geometry-optimized NbMo6W4 structure. The functional is GGA-PBE.

Cell lengths 5.1886, 5.1886, 8.0369 Å; angles 108.83, 108.83, 90.00 degrees
Fractional positions:
1 Nb 0.5000 0.5000 0.0000
2 Mo 0.8849 0.4825 0.3673
3 Mo 0.4825 0.8849 0.3673
4 Mo 0.5175 0.5175 0.6327
5 Mo 0.0000 0.5000 0.0000
6 Mo 0.1151 0.1151 0.6327
7 Mo 0.5000 0.0000 0.0000
8 W 0.0595 0.6694 0.7289
9 W 0.9405 0.9405 0.2711
10 W 0.6694 0.0595 0.7289
11 W 0.3306 0.3306 0.2711

Results
The value obtained for the mass density is 12.11 g/cm³. For the formation energy, the calculation gives 0.707 eV per atom. The spin magnetization comes out at 0.0 μB/f.u.

=====

12.
This record from Alexandria describes a geometry-optimized Li4Zr3PdS8 structure. The functional is GGA-PBE.

Cell lengths 7.2051, 7.4486, 7.3974 Å; angles 119.18, 119.14, 90.00 degrees
Each line ends with the local moment (μB).
Fractional positions:
1 Li 0.5000 0.0000 0.0000  0.01
2 Li 0.5000 0.0000 0.5000  0.00
3 Li 0.0000 0.0000 0.0000  0.00
4 Li 0.0000 0.0000 0.5000  0.00
5 Zr 0.5000 0.5000 0.0000  0.00
6 Zr 0.5000 0.5000 0.5000  0.02
7 Zr 0.0000 0.5000 0.5000  0.02
8 Pd 0.0000 0.5000 0.0000  0.21
9 S 0.2358 0.7359 0.9891  0.02
10 S 0.2694 0.7646 0.5388  0.01
11 S 0.2550 0.2523 0.5100  0.00
12 S 0.7533 0.7359 0.9891  0.02
13 S 0.2467 0.2641 0.0109  0.02
14 S 0.7450 0.7477 0.4900  0.00
15 S 0.7306 0.2354 0.4612  0.01
16 S 0.7642 0.2641 0.0109  0.02

Results
The value obtained for the mass density is 3.83 g/cm³. The calculation puts the raw formation energy at -1.311 eV/atom. The spin magnetization comes out at 0.5 μB/f.u.

=====

13.
This record from Alexandria describes a geometry-optimized Ac2Sm5Y2 structure. The functional is GGA-PBE.

Cell lengths 3.6882, 12.4785, 10.5131 Å; angles 48.02, 100.31, 81.56 degrees
Fractional positions:
1 Ac 0.7279 0.6746 0.1215
2 Ac 0.2721 0.3254 0.8785
3 Sm 0.8530 0.7235 0.4306
4 Sm 0.1470 0.2765 0.5694
5 Sm 0.5660 0.6515 0.7830
6 Sm 0.4340 0.3485 0.2170
7 Sm 0.0000 0.0000 0.0000
8 Y 0.8546 0.9683 0.6740
9 Y 0.1454 0.0317 0.3260

Results
The value obtained for the mass density is 6.97 g/cm³. For the formation energy, the calculation gives 0.090 eV per atom. The spin magnetization comes out at 0.0 μB/f.u.

=====

14.
This record from Alexandria describes a geometry-optimized MoPb structure. The functional is GGA-PBE.

Cell lengths 3.2786, 3.2786, 8.6128 Å; angles 90.00, 90.00, 90.00 degrees
Fractional positions:
1 Mo 0.2500 0.2500 0.0724
2 Mo 0.7500 0.7500 0.9276
3 Pb 0.2500 0.2500 0.6876
4 Pb 0.7500 0.7500 0.3124

Results
The value obtained for the mass density is 10.87 g/cm³. For the formation energy, the calculation gives 0.326 eV per atom. The spin magnetization comes out at 0.0 μB/f.u.

=====

15.
This record from Alexandria describes a geometry-optimized ScH7Ru2 structure. The functional is GGA-PBE.

Cell lengths 3.4663, 4.9024, 4.9024 Å; angles 109.29, 90.00, 90.00 degrees
Fractional positions:
1 Sc 0.0000 0.0000 0.0000
2 H 0.0000 0.7222 0.2778
3 H 0.0000 0.2778 0.7222
4 H 0.5000 0.0794 0.3260
5 H 0.5000 0.9206 0.6740
6 H 0.5000 0.3260 0.0794
7 H 0.5000 0.6740 0.9206
8 H 0.5000 0.5000 0.5000
9 Ru 0.5000 0.7149 0.2851
10 Ru 0.5000 0.2851 0.7149

Results
The value obtained for the mass density is 5.37 g/cm³. The value obtained for the total energy is -4.96 eV per atom. The spin magnetization comes out at 0.0 μB/f.u.

=====

16.
This record from Alexandria describes a geometry-optimized ThHg4 structure. The functional is GGA-PBE.

Cell lengths 4.9909, 6.6578, 8.7022 Å; angles 112.49, 106.66, 90.00 degrees
Fractional positions:
1 Th 0.8915 0.1415 0.7829
2 Th 0.1085 0.8585 0.2171
3 Hg 0.1018 0.3518 0.2036
4 Hg 0.8982 0.6482 0.7964
5 Hg 0.5000 0.0000 0.0000
6 Hg 0.5000 0.5000 0.0000
7 Hg 0.6985 0.1977 0.3969
8 Hg 0.3015 0.8023 0.6031
9 Hg 0.3015 0.3008 0.6031
10 Hg 0.6985 0.6992 0.3969

Results
The value obtained for the mass density is 13.53 g/cm³. For the formation energy, the calculation gives -0.155 eV per atom. The spin magnetization comes out at 0.0 μB/f.u.

=====

17.
This record from Alexandria describes a geometry-optimized KSrPrCl6 structure. The functional is GGA-PBE.

Cell lengths 7.5098, 7.5098, 13.2365 Å; angles 90.00, 90.00, 120.00 degrees
Fractional positions:
1 K 0.0000 0.0000 0.0000
2 K 0.0000 0.0000 0.5000
3 Sr 0.6667 0.3333 0.2500
4 Sr 0.3333 0.6667 0.7500
5 Pr 0.3333 0.6667 0.2500
6 Pr 0.6667 0.3333 0.7500
7 Cl 0.6306 0.6442 0.1343
8 Cl 0.0136 0.3694 0.1343
9 Cl 0.3694 0.0136 0.6343
10 Cl 0.9864 0.6306 0.8657
11 Cl 0.3558 0.3694 0.3657
12 Cl 0.0136 0.6442 0.3657
13 Cl 0.6442 0.0136 0.8657
14 Cl 0.6306 0.9864 0.3657
15 Cl 0.9864 0.3558 0.6343
16 Cl 0.3558 0.9864 0.1343
17 Cl 0.6442 0.6306 0.6343
18 Cl 0.3694 0.3558 0.8657

Results
The value obtained for the mass density is 2.47 g/cm³. The calculation puts the raw formation energy at -2.285 eV/atom. The spin magnetization comes out at 0.0 μB/f.u.

=====

18.
This record from Alexandria describes a geometry-optimized GaAuO2F structure. The functional is GGA-PBE.

Cell lengths 3.9245, 3.9245, 3.8643 Å; angles 90.00, 90.00, 90.00 degrees
Each line ends with the local moment (μB).
Fractional positions:
1 Au 0.5000 0.5000 0.5000  0.32
2 O 0.0000 0.5000 0.0000  0.33
3 O 0.5000 0.0000 0.0000  0.33
4 Ga 0.0000 0.0000 0.0000  -0.02
5 F 0.0000 0.0000 0.5000  -0.01

Results
The value obtained for the mass density is 8.86 g/cm³. The calculation puts the raw formation energy at -0.798 eV/atom. The spin magnetization comes out at 1.0 μB/f.u.

=====

19.
This record from Alexandria describes a geometry-optimized BaHfPdBr structure. The functional is GGA-PBE.

Cell lengths 3.6406, 3.6406, 16.8378 Å; angles 90.00, 90.00, 90.00 degrees
Fractional positions:
1 Br 0.0000 0.0000 0.3431
2 Br 0.5000 0.5000 0.8431
3 Hf 0.0000 0.0000 0.1810
4 Hf 0.5000 0.5000 0.6810
5 Ba 0.0000 0.0000 0.9717
6 Ba 0.5000 0.5000 0.4717
7 Pd 0.0000 0.0000 0.6229
8 Pd 0.5000 0.5000 0.1229

Results
The value obtained for the mass density is 7.47 g/cm³. The calculation puts the raw formation energy at -0.677 eV/atom. The spin magnetization comes out at 0.0 μB/f.u.

=====

20.
This record from Alexandria describes a geometry-optimized LaLuCoAu structure. The functional is GGA-PBE.

Cell lengths 5.0215, 5.0215, 5.0215 Å; angles 60.00, 60.00, 60.00 degrees
Each line ends with the local moment (μB).
Fractional positions:
1 Co 0.5000 0.5000 0.5000  0.86
2 Lu 0.7500 0.7500 0.7500  -0.10
3 Au 0.0000 0.0000 0.0000  0.00
4 La 0.2500 0.2500 0.2500  -0.05

Results
The value obtained for the mass density is 10.57 g/cm³. For the formation energy, the calculation gives -0.369 eV per atom. The spin magnetization comes out at 0.6 μB/f.u.

=====

21.
This record from Alexandria describes a geometry-optimized Tb2Pm2Nd structure. The functional is GGA-PBE.

Cell lengths 4.2543, 4.2543, 9.7569 Å; angles 102.59, 102.59, 90.00 degrees
Fractional positions:
1 Tb 0.6012 0.6012 0.2024
2 Tb 0.3988 0.3988 0.7976
3 Pm 0.8022 0.8022 0.6044
4 Pm 0.1978 0.1978 0.3956
5 Nd 0.0000 0.0000 0.0000

Results
The value obtained for the mass density is 7.43 g/cm³. For the formation energy, the calculation gives 0.110 eV per atom. The spin magnetization comes out at 0.0 μB/f.u.

=====

22.
This record from Alexandria describes a geometry-optimized Eu2InBr structure. The functional is GGA-PBE.

Cell lengths 4.1711, 4.1711, 9.1049 Å; angles 76.76, 76.76, 60.00 degrees
Each line ends with the local moment (μB).
Fractional positions:
1 Eu 0.2529 0.2529 0.2412  6.93
2 Eu 0.7471 0.7471 0.7588  6.93
3 Br 0.0000 0.0000 0.0000  -0.03
4 In 0.5000 0.5000 0.5000  -0.01

Results
The value obtained for the mass density is 6.26 g/cm³. The calculation puts the raw formation energy at -0.892 eV/atom. The spin magnetization comes out at 14.5 μB/f.u.

=====

23.
This record from Alexandria describes a geometry-optimized KRb2PtI6 structure. The functional is GGA-PBE.

Cell lengths 8.0747, 8.0747, 17.6635 Å; angles 76.79, 76.79, 60.00 degrees
Fractional positions:
1 K 0.5830 0.5830 0.2510
2 K 0.4170 0.4170 0.7490
3 Rb 0.8591 0.8591 0.4227
4 Rb 0.1409 0.1409 0.5773
5 Rb 0.6908 0.6908 0.9275
6 Rb 0.3092 0.3092 0.0725
7 Pt 0.0000 0.0000 0.0000
8 Pt 0.5000 0.5000 0.5000
9 I 0.8574 0.3683 0.4060
10 I 0.3683 0.8574 0.4060
11 I 0.3683 0.3683 0.4060
12 I 0.1426 0.6317 0.5940
13 I 0.6317 0.1426 0.5940
14 I 0.6317 0.6317 0.5940
15 I 0.7085 0.1931 0.9053
16 I 0.1931 0.7085 0.9053
17 I 0.1931 0.1931 0.9053
18 I 0.2915 0.8069 0.0947
19 I 0.8069 0.2915 0.0947
20 I 0.8069 0.8069 0.0947

Results
The value obtained for the mass density is 4.03 g/cm³. The calculation puts the raw formation energy at -0.876 eV/atom. The spin magnetization comes out at 0.0 μB/f.u.

=====

24.
This record from Alexandria describes a geometry-optimized La3CuSi2Pd9 structure. The functional is GGA-PBE.

Cell lengths 5.8433, 5.8433, 10.4451 Å; angles 90.00, 90.00, 120.00 degrees
Fractional positions:
1 La 0.3333 0.6667 0.6149
2 La 0.0000 0.0000 0.0000
3 La 0.6667 0.3333 0.3851
4 Cu 0.0000 0.0000 0.5000
5 Si 0.3333 0.6667 0.1630
6 Si 0.6667 0.3333 0.8370
7 Pd 0.8384 0.1616 0.6877
8 Pd 0.8384 0.6769 0.6877
9 Pd 0.3231 0.1616 0.6877
10 Pd 0.6769 0.8384 0.3123
11 Pd 0.1616 0.3231 0.3123
12 Pd 0.1616 0.8384 0.3123
13 Pd 0.5000 0.0000 0.0000
14 Pd 0.0000 0.5000 0.0000
15 Pd 0.5000 0.5000 0.0000

Results
The value obtained for the mass density is 8.03 g/cm³. The calculation puts the raw formation energy at -0.653 eV/atom. The spin magnetization comes out at 0.0 μB/f.u.